PBE Mg2Sc5Ni2Pd, relaxed; calculated formation energy = -0.42 eV/atom; crystal system = tetragonal; symmetry = No. 127; electronic total energy = -5.577 eV per atom
1.0
3.3571 0.0000 0.0000
0.0000 10.8976 0.0000
0.0000 0.0000 10.8976
Mg Sc Ni Pd
4 10 4 2
direct
0.0000 0.6744 0.1744 Mg
0.0000 0.3256 0.8256 Mg
0.0000 0.1744 0.3256 Mg
0.0000 0.8256 0.6744 Mg
0.5000 0.2016 0.0698 Sc
0.5000 0.7984 0.9302 Sc
0.5000 0.0698 0.7984 Sc
0.5000 0.7016 0.4302 Sc
0.5000 0.9302 0.2016 Sc
0.5000 0.2984 0.5698 Sc
0.5000 0.5698 0.7016 Sc
0.5000 0.4302 0.2984 Sc
0.5000 0.5000 0.0000 Sc
0.5000 0.0000 0.5000 Sc
0.0000 0.1317 0.6317 Ni
0.0000 0.8683 0.3683 Ni
0.0000 0.6317 0.8683 Ni
0.0000 0.3683 0.1317 Ni
0.0000 0.0000 0.0000 Pd
0.0000 0.5000 0.5000 Pd